Entry 1:
Crystalline RbTc2GeMo at its relaxed geometry, computed with GGA-PBE.

a b c (Å): 4.714 4.714 4.792
angles (deg): 90.00 90.00 90.00
Fractional positions:
Rb 0.000 0.000 0.000
Tc 0.000 0.500 0.000
Tc 0.500 0.000 0.000
Ge 0.500 0.500 0.500
Mo 0.000 0.000 0.500

Properties
Size of the total moment   3.64 μB per formula unit
Calculated formation energy   3.26 eV/atom
DOS at the Fermi energy   7.2 states/eV per cell
Space-group type   P4/mmm (123)

=====

Entry 2:
Crystalline ReGe3Mo at its relaxed geometry, computed with GGA-PBE.

a b c (Å): 4.829 4.829 4.829
angles (deg): 90.00 90.00 90.00
Fractional positions:
Re 0.000 0.000 0.000
Ge 0.000 0.000 0.500
Ge 0.000 0.500 0.000
Ge 0.500 0.000 0.000
Mo 0.500 0.500 0.500

Properties
Size of the total moment   4.98 μB per formula unit
Calculated formation energy   1.06 eV/atom
Energy above the most stable polymorph in this dataset   0 meV/atom
DOS at the Fermi energy   1.9 states/eV per cell
Space-group type   Pm-3m (221)

=====

Entry 3:
Crystalline ReGeMo2 at its relaxed geometry, computed with GGA-PBE.

a b c (Å): 5.672 5.672 5.672
angles (deg): 103.67 103.67 121.83
Fractional positions:
Re 0.000 0.000 0.000
Re 0.750 0.250 0.500
Ge 0.250 0.750 0.500
Ge 0.500 0.500 0.000
Mo 0.117 0.625 0.992
Mo 0.375 0.367 0.492
Mo 0.633 0.125 0.008
Mo 0.875 0.883 0.508

Properties
Size of the total moment   0.00 μB per formula unit
Calculated formation energy   0.77 eV/atom
DOS at the Fermi energy   8.2 states/eV per cell
Space-group type   I-42d (122)

=====

Entry 4:
Crystalline ReGe2Mo at its relaxed geometry, computed with GGA-PBE.

a b c (Å): 9.491 9.491 9.491
angles (deg): 17.30 17.30 17.30
Fractional positions:
Re 0.000 0.000 0.000
Ge 0.091 0.091 0.091
Ge 0.909 0.909 0.909
Mo 0.500 0.500 0.500

Properties
Size of the total moment   0.00 μB per formula unit
Calculated formation energy   0.42 eV/atom
Energy above the most stable polymorph in this dataset   218 meV/atom
DOS at the Fermi energy   3.9 states/eV per cell
Space-group type   R-3m (166)

=====

Entry 5:
Crystalline ReGe2Mo at its relaxed geometry, computed with GGA-PBE.

a b c (Å): 4.390 4.390 4.390
angles (deg): 60.00 60.00 60.00
Fractional positions:
Re 0.000 0.000 0.000
Ge 0.250 0.250 0.250
Ge 0.750 0.750 0.750
Mo 0.500 0.500 0.500

Properties
Size of the total moment   0.00 μB per formula unit
Calculated formation energy   0.20 eV/atom
Energy above the most stable polymorph in this dataset   0 meV/atom
DOS at the Fermi energy   4.9 states/eV per cell
Space-group type   Fm-3m (225)

=====

Entry 6:
Crystalline ReGe2Mo at its relaxed geometry, computed with GGA-PBE.

a b c (Å): 5.676 5.676 5.676
angles (deg): 103.21 103.21 122.87
Fractional positions:
Re 0.000 0.000 0.000
Re 0.750 0.250 0.500
Ge 0.113 0.625 0.988
Ge 0.375 0.363 0.488
Ge 0.637 0.125 0.012
Ge 0.875 0.887 0.512
Mo 0.250 0.750 0.500
Mo 0.500 0.500 0.000

Properties
Size of the total moment   0.38 μB per formula unit
Calculated formation energy   0.77 eV/atom
Energy above the most stable polymorph in this dataset   570 meV/atom
DOS at the Fermi energy   8.2 states/eV per cell
Space-group type   I-42d (122)

=====

Entry 7:
Crystalline ReGe2MoRu at its relaxed geometry, computed with GGA-PBE.

a b c (Å): 4.706 4.706 4.802
angles (deg): 90.00 90.00 90.00
Fractional positions:
Re 0.000 0.000 0.000
Ge 0.000 0.500 0.000
Ge 0.500 0.000 0.000
Mo 0.500 0.500 0.500
Ru 0.000 0.000 0.500

Properties
Size of the total moment   3.12 μB per formula unit
Calculated formation energy   1.40 eV/atom
DOS at the Fermi energy   4.5 states/eV per cell
Space-group type   P4/mmm (123)

=====

Entry 8:
Crystalline ReGeSbMo2 at its relaxed geometry, computed with GGA-PBE.

a b c (Å): 4.610 4.610 5.010
angles (deg): 90.00 90.00 90.00
Fractional positions:
Re 0.000 0.000 0.000
Ge 0.500 0.500 0.500
Sb 0.500 0.500 0.000
Mo 0.000 0.500 0.500
Mo 0.500 0.000 0.500

Properties
Size of the total moment   1.76 μB per formula unit
DOS at the Fermi energy   5.7 states/eV per cell
Formation energy without anion corrections   1.9709 eV per atom
Space-group type   P4/mmm (123)

=====

Entry 9:
Crystalline Ta2ReGeMo at its relaxed geometry, computed with GGA-PBE.

a b c (Å): 4.661 4.661 4.483
angles (deg): 90.00 90.00 90.00
Fractional positions:
Ta 0.000 0.500 0.000
Ta 0.500 0.000 0.000
Re 0.000 0.000 0.500
Ge 0.500 0.500 0.000
Mo 0.500 0.500 0.500

Properties
Size of the total moment   0.24 μB per formula unit
Calculated formation energy   1.42 eV/atom
DOS at the Fermi energy   5.5 states/eV per cell
Space-group type   P4/mmm (123)

=====

Entry 10:
Crystalline ReTcGe2Mo at its relaxed geometry, computed with GGA-PBE.

a b c (Å): 4.709 4.709 4.876
angles (deg): 90.00 90.00 90.00
Fractional positions:
Re 0.000 0.000 0.000
Tc 0.000 0.000 0.500
Ge 0.000 0.500 0.000
Ge 0.500 0.000 0.000
Mo 0.500 0.500 0.500

Properties
Size of the total moment   2.18 μB per formula unit
Calculated formation energy   1.48 eV/atom
DOS at the Fermi energy   4.2 states/eV per cell
Space-group type   P4/mmm (123)

=====

Entry 11:
Crystalline ReTcGeMo at its relaxed geometry, computed with GGA-PBE.

a b c (Å): 4.386 4.386 4.386
angles (deg): 60.00 60.00 60.00
Fractional positions:
Re 0.000 0.000 0.000
Tc 0.500 0.500 0.500
Ge 0.250 0.250 0.250
Mo 0.750 0.750 0.750

Properties
Size of the total moment   0.00 μB per formula unit
Calculated formation energy   0.10 eV/atom
DOS at the Fermi energy   3.1 states/eV per cell
Space-group type   F-43m (216)

=====

Entry 12:
Crystalline ZnReGeMo2 at its relaxed geometry, computed with GGA-PBE.

a b c (Å): 4.649 4.649 4.152
angles (deg): 90.00 90.00 90.00
Fractional positions:
Zn 0.000 0.000 0.000
Re 0.500 0.500 0.500
Ge 0.000 0.000 0.500
Mo 0.000 0.500 0.000
Mo 0.500 0.000 0.000

Properties
Size of the total moment   1.67 μB per formula unit
Calculated formation energy   1.86 eV/atom
DOS at the Fermi energy   6.7 states/eV per cell
Space-group type   P4/mmm (123)

=====

Entry 13:
Crystalline Ge2MoRh2 at its relaxed geometry, computed with GGA-PBE.

a b c (Å): 7.256 7.256 2.813
angles (deg): 90.00 90.00 90.00
Fractional positions:
Ge 0.152 0.348 0.000
Ge 0.348 0.848 0.000
Ge 0.652 0.152 0.000
Ge 0.848 0.652 0.000
Mo 0.000 0.000 0.000
Mo 0.500 0.500 0.000
Rh 0.147 0.647 0.500
Rh 0.353 0.147 0.500
Rh 0.647 0.853 0.500
Rh 0.853 0.353 0.500

Properties
Size of the total moment   0.00 μB per formula unit
Calculated formation energy   -0.23 eV/atom
DOS at the Fermi energy   7.3 states/eV per cell
Space-group type   P4/mbm (127)

=====

Entry 14:
Crystalline Ge2MoRh at its relaxed geometry, computed with GGA-PBE.

a b c (Å): 4.385 4.385 3.082
angles (deg): 90.00 90.00 90.00
Fractional positions:
Ge 0.000 0.500 0.000
Ge 0.500 0.000 0.000
Mo 0.000 0.000 0.500
Rh 0.500 0.500 0.500

Properties
Size of the total moment   0.00 μB per formula unit
Calculated formation energy   -0.22 eV/atom
Energy above the most stable polymorph in this dataset   0 meV/atom
DOS at the Fermi energy   3.0 states/eV per cell
Space-group type   P4/mmm (123)

=====

Entry 15:
Crystalline Ge2MoRh at its relaxed geometry, computed with GGA-PBE.

a b c (Å): 5.602 5.602 5.602
angles (deg): 106.54 106.54 115.50
Fractional positions:
Ge 0.108 0.625 0.983
Ge 0.375 0.358 0.483
Ge 0.642 0.125 0.017
Ge 0.875 0.892 0.517
Mo 0.250 0.750 0.500
Mo 0.500 0.500 0.000
Rh 0.000 0.000 0.000
Rh 0.750 0.250 0.500

Properties
Size of the total moment   0.26 μB per formula unit
Calculated formation energy   0.24 eV/atom
Energy above the most stable polymorph in this dataset   459 meV/atom
DOS at the Fermi energy   6.7 states/eV per cell
Space-group type   I-42d (122)

=====

Entry 16:
Crystalline Ge2MoRh at its relaxed geometry, computed with GGA-PBE.

a b c (Å): 4.374 4.374 4.374
angles (deg): 60.00 60.00 60.00
Fractional positions:
Ge 0.250 0.250 0.250
Ge 0.750 0.750 0.750
Mo 0.000 0.000 0.000
Rh 0.500 0.500 0.500

Properties
Size of the total moment   0.00 μB per formula unit
Calculated formation energy   -0.16 eV/atom
Energy above the most stable polymorph in this dataset   60 meV/atom
DOS at the Fermi energy   2.7 states/eV per cell
Space-group type   Fm-3m (225)

=====

Entry 17:
Crystalline Ge2MoRh at its relaxed geometry, computed with GGA-PBE.

a b c (Å): 9.217 9.217 9.217
angles (deg): 18.11 18.11 18.11
Fractional positions:
Ge 0.095 0.095 0.095
Ge 0.905 0.905 0.905
Mo 0.000 0.000 0.000
Rh 0.500 0.500 0.500

Properties
Size of the total moment   0.00 μB per formula unit
Calculated formation energy   0.13 eV/atom
Energy above the most stable polymorph in this dataset   351 meV/atom
DOS at the Fermi energy   3.2 states/eV per cell
Space-group type   R-3m (166)

=====

Entry 18:
Crystalline Ge2Mo2Rh at its relaxed geometry, computed with GGA-PBE.

a b c (Å): 6.301 6.301 3.863
angles (deg): 90.00 90.00 90.00
Fractional positions:
Ge 0.138 0.362 0.000
Ge 0.362 0.862 0.000
Ge 0.638 0.138 0.000
Ge 0.862 0.638 0.000
Mo 0.169 0.669 0.500
Mo 0.331 0.169 0.500
Mo 0.669 0.831 0.500
Mo 0.831 0.331 0.500
Rh 0.000 0.000 0.000
Rh 0.500 0.500 0.000

Properties
Size of the total moment   0.00 μB per formula unit
Calculated formation energy   -0.04 eV/atom
DOS at the Fermi energy   12.9 states/eV per cell
Space-group type   P4/mbm (127)

=====

Entry 19:
Crystalline Ge2SbMoRh at its relaxed geometry, computed with GGA-PBE.

a b c (Å): 4.787 4.787 5.188
angles (deg): 90.00 90.00 90.00
Fractional positions:
Ge 0.000 0.500 0.000
Ge 0.500 0.000 0.000
Sb 0.000 0.000 0.500
Mo 0.000 0.000 0.000
Rh 0.500 0.500 0.500

Properties
Size of the total moment   0.00 μB per formula unit
DOS at the Fermi energy   3.4 states/eV per cell
Formation energy without anion corrections   0.8148 eV per atom
Space-group type   P4/mmm (123)

=====

Entry 20:
Crystalline GeMoRu at its relaxed geometry, computed with GGA-PBE.

a b c (Å): 4.258 4.258 2.839
angles (deg): 90.00 90.00 120.00
Fractional positions:
Ge 0.000 0.000 0.000
Mo 0.333 0.667 0.500
Ru 0.667 0.333 0.000

Properties
Size of the total moment   0.00 μB per formula unit
Calculated formation energy   -0.15 eV/atom
DOS at the Fermi energy   1.7 states/eV per cell
Space-group type   P-6m2 (187)

=====

Entry 21:
Crystalline GeMoRu at its relaxed geometry, computed with GGA-PBE.

a b c (Å): 3.827 3.827 6.328
angles (deg): 90.00 90.00 90.00
Fractional positions:
Ge 0.250 0.250 0.220
Ge 0.750 0.750 0.780
Mo 0.250 0.250 0.815
Mo 0.750 0.750 0.185
Ru 0.250 0.750 0.500
Ru 0.750 0.250 0.500

Properties
Size of the total moment   0.22 μB per formula unit
Calculated formation energy   -0.05 eV/atom
DOS at the Fermi energy   6.1 states/eV per cell
Space-group type   P4/nmm (129)

=====

Entry 22:
Crystalline Ge4Mo2Ru at its relaxed geometry, computed with GGA-PBE.

a b c (Å): 7.381 7.381 5.600
angles (deg): 110.82 110.82 24.66
Fractional positions:
Ge 0.111 0.111 0.320
Ge 0.383 0.383 0.222
Ge 0.617 0.617 0.778
Ge 0.889 0.889 0.680
Mo 0.253 0.253 0.754
Mo 0.747 0.747 0.246
Ru 0.500 0.500 0.000

Properties
Size of the total moment   0.00 μB per formula unit
Calculated formation energy   -0.07 eV/atom
Energy above the most stable polymorph in this dataset   0 meV/atom
DOS at the Fermi energy   1.3 states/eV per cell
Space-group type   C2/m (12)

=====

Entry 23:
Crystalline Ge2Mo2Ru at its relaxed geometry, computed with GGA-PBE.

a b c (Å): 6.248 6.248 3.943
angles (deg): 90.00 90.00 90.00
Fractional positions:
Ge 0.140 0.360 0.000
Ge 0.360 0.860 0.000
Ge 0.640 0.140 0.000
Ge 0.860 0.640 0.000
Mo 0.163 0.663 0.500
Mo 0.337 0.163 0.500
Mo 0.663 0.837 0.500
Mo 0.837 0.337 0.500
Ru 0.000 0.000 0.000
Ru 0.500 0.500 0.000

Properties
Size of the total moment   0.00 μB per formula unit
Calculated formation energy   0.06 eV/atom
DOS at the Fermi energy   7.4 states/eV per cell
Space-group type   P4/mbm (127)

=====

Entry 24:
Crystalline Ge2MoRu2 at its relaxed geometry, computed with GGA-PBE.

a b c (Å): 7.169 7.169 2.860
angles (deg): 90.00 90.00 90.00
Fractional positions:
Ge 0.147 0.353 0.000
Ge 0.353 0.853 0.000
Ge 0.647 0.147 0.000
Ge 0.853 0.647 0.000
Mo 0.000 0.000 0.000
Mo 0.500 0.500 0.000
Ru 0.152 0.652 0.500
Ru 0.348 0.152 0.500
Ru 0.652 0.848 0.500
Ru 0.848 0.348 0.500

Properties
Size of the total moment   0.00 μB per formula unit
Calculated formation energy   -0.04 eV/atom
DOS at the Fermi energy   6.2 states/eV per cell
Space-group type   P4/mbm (127)

=====

Entry 25:
Crystalline Ge4Mo2Ru at its relaxed geometry, computed with GGA-PBE.

a b c (Å): 7.140 7.140 7.140
angles (deg): 141.27 141.27 55.93
Fractional positions:
Ge 0.000 0.500 0.500
Ge 0.199 0.199 0.000
Ge 0.500 0.000 0.500
Ge 0.801 0.801 0.000
Mo 0.401 0.401 0.000
Mo 0.599 0.599 0.000
Ru 0.000 0.000 0.000

Properties
Size of the total moment   1.61 μB per formula unit
Calculated formation energy   0.67 eV/atom
Energy above the most stable polymorph in this dataset   740 meV/atom
DOS at the Fermi energy   7.2 states/eV per cell
Space-group type   I4/mmm (139)

=====

Entry 26:
Crystalline V2GeMoRu at its relaxed geometry, computed with GGA-PBE.

a b c (Å): 4.562 4.562 4.784
angles (deg): 90.00 90.00 90.00
Fractional positions:
V 0.000 0.500 0.000
V 0.500 0.000 0.000
Ge 0.000 0.000 0.500
Mo 0.500 0.500 0.500
Ru 0.500 0.500 0.000

Properties
Size of the total moment   0.02 μB per formula unit
Calculated formation energy   1.18 eV/atom
DOS at the Fermi energy   8.1 states/eV per cell
Space-group type   P4/mmm (123)

=====

Entry 27:
Crystalline Ge2Mo2S at its relaxed geometry, computed with GGA-PBE.

a b c (Å): 7.113 7.113 3.202
angles (deg): 90.00 90.00 90.00
Fractional positions:
Ge 0.136 0.364 0.000
Ge 0.364 0.864 0.000
Ge 0.636 0.136 0.000
Ge 0.864 0.636 0.000
Mo 0.160 0.660 0.500
Mo 0.340 0.160 0.500
Mo 0.660 0.840 0.500
Mo 0.840 0.340 0.500
S 0.000 0.000 0.000
S 0.500 0.500 0.000

Properties
Size of the total moment   0.00 μB per formula unit
Energy above the most stable polymorph in this dataset   0 meV/atom
DOS at the Fermi energy   6.7 states/eV per cell
Formation energy without anion corrections   0.4138 eV per atom
Space-group type   P4/mbm (127)